Entry from Alexandria: crystalline NpTaCrO6 at its relaxed geometry (PBE+U).

E_tot = -9.38 eV per atom

a = 5.4411 Å, b = 5.4411 Å, c = 8.8458 Å
α = 90.00°, β = 90.00°, γ = 120.00°
Closest atoms and distances in Å follow each position.
Space group P-31c (No. 163)
Unique sites:
Np: 0.3333 0.6667 0.2500 (multiplicity 2)  6 O 2.18
Ta: 0.3333 0.6667 0.7500 (multiplicity 2)  6 O 2.02
Cr: 0.0000 0.0000 0.0000 (multiplicity 2)  6 O 2.16
O: 0.0236 0.3481 0.6290 (multiplicity 12)  1 Ta 2.02, 1 Cr 2.16, 1 Np 2.18